A crystal of LiAg2P relaxed with PBEsol. Source: the Alexandria database, functional meta-GGA SCAN.

a b c (Å): 3.756 3.982 3.982
angles (deg): 90.00 90.00 90.00
Fractional positions:
Li (0.500, 0.500, 0.500)
P (0.500, 0.000, 0.000)
Ag (0.000, 0.500, 0.000)
Ag (0.000, 0.000, 0.500)

D(E_F), states/eV per atom: 0.244
Formation energy from the elements, kJ per mole of atoms: -11
Theoretical density, g/cm3: 7.1
Raw total energy, eV/atom: -18.992
Excess energy over the best structure of this formula in the dataset, eV/atom: 0.020



A crystal of Li17Ag3P6 relaxed with PBEsol. Source: the Alexandria database, functional meta-GGA SCAN.

a b c (Å): 7.319 7.319 7.664
angles (deg): 90.00 90.00 120.00
Fractional positions:
P (0.650, 0.650, 0.506)
P (0.000, 0.669, 0.046)
P (0.669, 0.000, 0.046)
P (0.331, 0.331, 0.046)
P (0.000, 0.350, 0.506)
P (0.350, 0.000, 0.506)
Li (0.667, 0.333, 0.298)
Li (0.352, 0.352, 0.715)
Li (0.000, 0.648, 0.715)
Li (0.337, 0.000, 0.170)
Li (0.290, 0.290, 0.376)
Li (0.000, 0.337, 0.170)
Li (0.000, 0.309, 0.835)
Li (0.667, 0.333, 0.601)
Li (0.648, 0.000, 0.715)
Li (0.691, 0.691, 0.835)
Li (0.000, 0.000, 0.018)
Li (0.309, 0.000, 0.835)
Li (0.333, 0.667, 0.601)
Li (0.000, 0.710, 0.376)
Li (0.710, 0.000, 0.376)
Li (0.333, 0.667, 0.298)
Li (0.663, 0.663, 0.170)
Ag (0.667, 0.333, 0.957)
Ag (0.000, 0.000, 0.593)
Ag (0.333, 0.667, 0.957)

D(E_F), states/eV per atom: 0.166
Formation energy from the elements, kJ per mole of atoms: -56
Theoretical density, g/cm3: 2.9
Raw total energy, eV/atom: -8.165



A crystal of LiAgSbP2 relaxed with PBEsol. Source: the Alexandria database, functional meta-GGA SCAN.

a b c (Å): 4.429 4.429 4.594
angles (deg): 90.00 90.00 90.00
Fractional positions:
Li (0.000, 0.000, 0.000)
P (0.500, 0.000, 0.000)
P (0.000, 0.500, 0.000)
Ag (0.000, 0.000, 0.500)
Sb (0.500, 0.500, 0.500)

E_form (uncorrected), eV/atom: 0.653
D(E_F), states/eV per atom: 0.602
Theoretical density, g/cm3: 5.5
Raw total energy, eV/atom: -17.710